Here is a relaxed Nd6Er3In crystal from Alexandria. Energies are from GGA-PBE.

```
data_Nd6Er3In
_cell_length_a 12.965
_cell_length_b 3.550
_cell_length_c 14.480
_cell_angle_alpha 90.00
_cell_angle_beta 100.58
_cell_angle_gamma 90.00
_symmetry_space_group_name_H-M 'P 1'
_symmetry_Int_Tables_number 1
_symmetry_space_group_name_Hall 'P 1'
loop_
_atom_site_label
_atom_site_type_symbol
_atom_site_fract_x
_atom_site_fract_y
_atom_site_fract_z
Nd1 Nd 0.010 0.250 0.309
Nd2 Nd 0.158 0.250 0.884
Nd3 Nd 0.252 0.750 0.303
Nd4 Nd 0.269 0.750 0.714
Nd5 Nd 0.312 0.750 0.075
Nd6 Nd 0.388 0.250 0.536
Nd7 Nd 0.612 0.750 0.464
Nd8 Nd 0.688 0.250 0.925
Nd9 Nd 0.731 0.250 0.286
Nd10 Nd 0.748 0.250 0.697
Nd11 Nd 0.842 0.750 0.116
Nd12 Nd 0.990 0.750 0.691
Er1 Er 0.079 0.250 0.096
Er2 Er 0.129 0.750 0.501
Er3 Er 0.429 0.250 0.894
Er4 Er 0.571 0.750 0.106
Er5 Er 0.871 0.250 0.499
Er6 Er 0.921 0.750 0.904
In1 In 0.469 0.250 0.270
In2 In 0.531 0.750 0.730
```

Values from the calculation:
Calculated density, Mg/m³: 7.514
D(E_F), states/eV per atom: 1.33
Total moment, μB per cell: 0.00
E_form, kJ per mole of atoms: -1
Total DFT energy (no corrections), eV/atom: -4.5122